(1)
# PBE HfP2RhO, relaxed
# Crystal system: tetragonal
# ΔE to the lowest computed polymorph (meV per atom): 36
# DOS at the Fermi energy (states/eV per cell): 2.35
# Formation energy without anion corrections (eV/atom): -0.09
data_HfP2RhO
_space_group_name_H-M_alt 'P 1'
_space_group_IT_number 1
_space_group_name_Hall 'P 1'
_cell_length_a 4.777
_cell_length_b 4.777
_cell_length_c 3.663
_cell_angle_alpha 90.00
_cell_angle_beta 90.00
_cell_angle_gamma 90.00
loop_
_atom_site_label
_atom_site_fract_x
_atom_site_fract_y
_atom_site_fract_z
O1 0.000 0.000 0.500
P1 0.500 0.000 0.000
P2 0.000 0.500 0.000
Hf1 0.500 0.500 0.500
Rh1 0.000 0.000 0.000

***

(2)
# PBE HfPRhO2, relaxed
# Crystal system: tetragonal
# ΔE to the lowest computed polymorph (meV per atom): 0
# DOS at the Fermi energy (states/eV per cell): 6.65
# Formation energy without anion corrections (eV/atom): -1.03
data_HfPRhO2
_space_group_name_H-M_alt 'P 1'
_space_group_IT_number 1
_space_group_name_Hall 'P 1'
_cell_length_a 3.909
_cell_length_b 3.909
_cell_length_c 5.622
_cell_angle_alpha 90.00
_cell_angle_beta 90.00
_cell_angle_gamma 90.00
loop_
_atom_site_label
_atom_site_fract_x
_atom_site_fract_y
_atom_site_fract_z
Hf1 0.000 0.000 0.000
O1 0.000 0.500 0.000
O2 0.500 0.000 0.000
P1 0.000 0.000 0.500
Rh1 0.500 0.500 0.500

***

(3)
# PBE HfP2RhO, relaxed
# Crystal system: tetragonal
# ΔE to the lowest computed polymorph (meV per atom): 0
# DOS at the Fermi energy (states/eV per cell): 4.86
# Formation energy without anion corrections (eV/atom): -0.13
data_HfP2RhO
_space_group_name_H-M_alt 'P 1'
_space_group_IT_number 1
_space_group_name_Hall 'P 1'
_cell_length_a 5.064
_cell_length_b 5.064
_cell_length_c 3.842
_cell_angle_alpha 90.00
_cell_angle_beta 90.00
_cell_angle_gamma 90.00
loop_
_atom_site_label
_atom_site_fract_x
_atom_site_fract_y
_atom_site_fract_z
O1 0.000 0.000 0.500
P1 0.500 0.000 0.000
P2 0.000 0.500 0.000
Rh1 0.500 0.500 0.500
Hf1 0.000 0.000 0.000